GGA-PBE BeCd2Cl, relaxed; uncorrected formation energy = -0.44 eV per formula unit; size of the total moment = 0.00 μB/cell; polymorph energy (0 for the lowest one) = 75 meV/atom; D(E_F) = 0.3244 states/eV per atom
1.0
-2.599 -1.947 -0.667
3.152 -0.985 0.291
-1.413 -1.555 10.041
Be Cl Cd
1 1 2
direct
0.500 0.500 0.737
0.000 0.000 0.605
0.000 0.000 0.946
0.500 0.500 0.212

---

GGA-PBE LaBeRhN, relaxed; uncorrected formation energy = -3.95 eV per formula unit; size of the total moment = 0.06 μB/cell; D(E_F) = 0.4106 states/eV per atom
1.0
3.845 0.000 0.000
0.000 3.845 0.000
0.000 0.000 8.129
La Be Rh N
2 2 2 2
direct
0.000 0.500 0.836
0.500 0.000 0.164
0.000 0.500 0.334
0.500 0.000 0.666
0.000 0.000 0.500
0.500 0.500 0.500
0.500 0.000 0.864
0.000 0.500 0.136